Density functional theory data (GGA-PBE) for TaBeOs2 after structural relaxation.

Geometry as POSCAR:
```
TaBeOs2
1.0
2.773 0.031 0.000
-1.032 2.574 0.000
0.000 0.000 7.792
Be Os Ta
1 2 1
Cartesian
0.871 1.303 5.844
0.000 0.000 7.557
0.000 0.000 4.131
0.871 1.303 1.948
```

Summary:
SG   Cmmm
E_form   67 meV/atom
E   -9.443 eV per atom

Density functional theory data (GGA-PBE) for Pm2NdHo8 after structural relaxation.

Geometry as POSCAR:
```
Pm2NdHo8
1.0
-5.038 -2.324 0.126
4.524 -8.795 -2.166
4.263 -7.855 4.757
Ho Pm Nd
8 2 1
Cartesian
0.147 -9.326 1.272
0.465 -3.649 0.513
1.796 -11.990 3.345
1.918 -12.429 0.110
1.831 -6.545 2.607
1.953 -6.984 -0.628
3.602 -9.648 1.445
3.284 -15.325 2.204
-1.275 -6.477 0.831
5.023 -12.497 1.886
0.000 0.000 0.000
```

Summary:
SG   C2/m
E_form   155 meV/atom
E   -4.471 eV per atom

Density functional theory data (GGA-PBE) for YTlH2Pb after structural relaxation.

Geometry as POSCAR:
```
YTlH2Pb
1.0
4.788 0.000 0.000
0.000 6.529 0.000
0.000 0.000 4.788
Y Pb Tl H
1 1 1 2
Cartesian
0.000 3.264 0.000
0.000 0.000 0.000
2.394 3.264 2.394
0.000 0.000 2.394
2.394 0.000 0.000
```

Summary:
SG   P4/mmm
E   -3.297 eV per atom

Density functional theory data (GGA-PBE) for HfScOs2 after structural relaxation.

Geometry as POSCAR:
```
HfScOs2
1.0
0.845 -1.623 4.187
-1.967 -3.885 1.385
2.519 -3.776 0.521
Os Sc Hf
2 1 1
Cartesian
0.349 -2.321 1.523
1.048 -6.963 4.570
0.000 0.000 0.000
0.699 -4.642 3.047
```

Summary:
SG   Fm-3m
E_form   -559 meV/atom
E   -10.245 eV per atom

Density functional theory data (GGA-PBE) for NaEu3C after structural relaxation.

Geometry as POSCAR:
```
NaEu3C
1.0
-0.641 -1.471 5.112
-2.233 -4.599 -1.603
4.828 -2.323 -0.063
Eu C Na
3 1 1
Cartesian
2.414 -1.161 -0.031
-0.321 -0.735 2.556
-1.117 -2.299 -0.802
0.000 0.000 0.000
0.977 -4.196 1.723
```

Summary:
SG   Pm-3m
E_form   215 meV/atom
E   -8.059 eV per atom

Density functional theory data (GGA-PBE) for HoPu2Rh after structural relaxation.

Geometry as POSCAR:
```
HoPu2Rh
1.0
3.577 0.000 0.000
0.000 3.577 0.000
0.000 0.000 7.679
Ho Pu Rh
1 2 1
Cartesian
1.789 1.789 3.839
0.000 0.000 6.150
0.000 0.000 1.529
1.789 1.789 0.000
```

Summary:
SG   P4/mmm
E_form   -133 meV/atom
E   -10.281 eV per atom

| no. | ρ (Mg/m³) |
| --- | --- |
| 1 | 17.0 |
| 2 | 7.9 |
| 3 | 5.6 |
| 4 | 14.9 |
| 5 | 5.3 |
| 6 | 12.8 |